[1]
## NaLi2AcAs2 (PBE)

Data for an optimized crystal structure of NaLi2AcAs2.

E_form (eV/atom): -0.93

abc: 4.5306 4.5306 7.4300
angles: 90.00 90.00 120.00
Element x y z (fractional)
As  0.3333  0.6667  0.2576
As  0.6667  0.3333  0.7424
Li  0.3333  0.6667  0.6482
Li  0.6667  0.3333  0.3518
Na  0.0000  0.0000  0.5000
Ac  0.0000  0.0000  0.0000

=====

[2]
## LiAcNi2As2 (PBE)

Data for an optimized crystal structure of LiAcNi2As2.

DOS(E_F) (states/eV per cell): 4.29
E_form (eV/atom): -0.77

abc: 4.1481 4.1481 7.1247
angles: 90.00 90.00 120.00
Element x y z (fractional)
Li  0.0000  0.0000  0.5000
Ac  0.0000  0.0000  0.0000
Ni  0.3333  0.6667  0.6444
Ni  0.6667  0.3333  0.3556
As  0.3333  0.6667  0.2986
As  0.6667  0.3333  0.7014

=====

[3]
## Li2AcAsO4 (PBE)

Data for an optimized crystal structure of Li2AcAsO4.

Energy relative to the elements, uncorrected (eV per atom): -1.9996

abc: 3.8131 7.1254 9.5911
angles: 90.00 90.00 105.52
Element x y z (fractional)
O  0.0000  0.0000  0.0000
O  0.5729  0.1459  0.2500
O  0.0000  0.0000  0.5000
O  0.3274  0.6549  0.1154
O  0.3274  0.6549  0.3846
O  0.6726  0.3451  0.6154
O  0.6726  0.3451  0.8846
O  0.4271  0.8541  0.7500
As  0.2431  0.4862  0.2500
As  0.7569  0.5138  0.7500
Ac  0.9614  0.9228  0.2500
Ac  0.0386  0.0772  0.7500
Li  0.5895  0.1790  0.0470
Li  0.4105  0.8210  0.9530
Li  0.4105  0.8210  0.5470
Li  0.5895  0.1790  0.4530

=====

[4]
## Li4AcAs3O12 (PBE)

Data for an optimized crystal structure of Li4AcAs3O12.

DOS(E_F) (states/eV per cell): 6.52
Energy relative to the elements, uncorrected (eV per atom): -1.4787

abc: 6.5496 6.5496 6.5496
angles: 109.47 109.47 109.47
Element x y z (fractional)
O  0.6704  0.8397  0.5101
O  0.5101  0.6704  0.8397
O  0.8397  0.5101  0.6704
O  0.3296  0.8397  0.1693
O  0.3296  0.1603  0.4899
O  0.1693  0.3296  0.8397
O  0.1603  0.4899  0.3296
O  0.6704  0.1603  0.8307
O  0.8397  0.1693  0.3296
O  0.4899  0.3296  0.1603
O  0.1603  0.8307  0.6704
O  0.8307  0.6704  0.1603
Li  0.0000  0.0000  0.5000
Li  0.5000  0.5000  0.5000
Li  0.5000  0.0000  0.0000
Li  0.0000  0.5000  0.0000
As  0.5000  0.0000  0.5000
As  0.5000  0.5000  0.0000
As  0.0000  0.5000  0.5000
Ac  0.0000  0.0000  0.0000

=====

[5]
## LiAcAs2O6 (PBE)

Data for an optimized crystal structure of LiAcAs2O6.

DOS(E_F) (states/eV per cell): 1.96
Energy relative to the elements, uncorrected (eV per atom): -1.7929

abc: 5.4459 5.4459 6.6255
angles: 65.73 65.73 60.00
Element x y z (fractional)
O  0.5309  0.2681  0.2688
O  0.2681  0.9322  0.2688
O  0.0678  0.4691  0.7312
O  0.4691  0.7319  0.7312
O  0.9322  0.5309  0.2688
O  0.7319  0.0678  0.7312
Li  0.5000  0.5000  0.5000
Ac  0.0000  0.0000  0.0000
As  0.7925  0.7925  0.6224
As  0.2075  0.2075  0.3776

=====

[6]
## LiAcAsO (PBE)

Data for an optimized crystal structure of LiAcAsO.

DOS(E_F) (states/eV per cell): 6.43
Energy relative to the elements, uncorrected (eV per atom): -1.8128

abc: 4.2852 4.2852 8.9888
angles: 90.00 90.00 90.00
Element x y z (fractional)
Ac  0.5000  0.0000  0.1405
Ac  0.0000  0.5000  0.8595
O  0.5000  0.5000  0.0000
O  0.0000  0.0000  0.0000
As  0.5000  0.0000  0.6555
As  0.0000  0.5000  0.3445
Li  0.5000  0.5000  0.5000
Li  0.0000  0.0000  0.5000